Record 1
A relaxed structure of AcEr2Ti. Source: Alexandria, functional PBE.

## Properties
mass density: 8.093 g/cm3
spin magnetization: 0.4906 μB per atom
energy of formation from the pure elements: 546 meV/atom

Unit cell a=3.4722 b=3.4722 c=12.1420 alpha=81.78 beta=81.78 gamma=60.00
Last column: nearest neighbours and their distance in Å.
Positions (direct):
Er 0.0814 0.0814 0.7558  1 Ti 2.92
Er 0.9186 0.9186 0.2442  1 Ti 2.92
Ti 0.0000 0.0000 0.0000  2 Er 2.92
Ac 0.5000 0.5000 0.5000  6 Ac 3.47, 6 Er 3.66

=====

Record 2
A relaxed structure of Ac2ErTi. Source: Alexandria, functional PBE.

## Properties
mass density: 8.421 g/cm3
spin magnetization: 0.1751 μB per atom
energy of formation from the pure elements: 359 meV/atom

Unit cell a=3.7160 b=3.7160 c=11.2394 alpha=80.48 beta=80.48 gamma=60.00
Last column: nearest neighbours and their distance in Å.
Positions (direct):
Ac 0.2579 0.2579 0.2264  3 Ti 3.29
Ac 0.7421 0.7421 0.7736  3 Ti 3.29
Ti 0.0000 0.0000 0.0000  6 Ac 3.29
Er 0.5000 0.5000 0.5000  6 Ac 3.70, 6 Er 3.72

=====

Record 3
A relaxed structure of AcErTl2. Source: Alexandria, functional PBE.

## Properties
mass density: 10.113 g/cm3
spin magnetization: 0.0000 μB per atom
energy of formation from the pure elements: -209 meV/atom

Unit cell a=3.8994 b=3.8994 c=10.2628 alpha=79.05 beta=79.05 gamma=60.00
Last column: nearest neighbours and their distance in Å.
Positions (direct):
Tl 0.2569 0.2569 0.2294  3 Er 3.22, 3 Ac 3.52
Er 0.0000 0.0000 0.0000  6 Tl 3.22
Tl 0.7431 0.7431 0.7706  3 Er 3.22, 3 Ac 3.52
Ac 0.5000 0.5000 0.5000  6 Tl 3.52, 6 Ac 3.90

=====

Record 4
A relaxed structure of Ac2ErTl2. Source: Alexandria, functional PBE.

## Properties
energy above the most stable polymorph in this dataset: 0 meV per atom
mass density: 9.738 g/cm3
spin magnetization: 0.0000 μB per atom
energy of formation from the pure elements: -293 meV/atom

Unit cell a=8.3826 b=8.3826 c=9.9984 alpha=90.00 beta=90.00 gamma=90.00
Last column: nearest neighbours and their distance in Å.
Positions (direct):
Er 0.5000 0.5000 0.2497  4 Tl 3.28
Tl 0.6323 0.1323 0.7500  1 Tl 3.14, 2 Er 3.28, 2 Ac 3.43
Tl 0.6323 0.1323 0.2500  1 Tl 3.14, 2 Er 3.28, 2 Ac 3.43
Tl 0.3677 0.8677 0.2500  1 Tl 3.14, 2 Er 3.28, 2 Ac 3.43
Er 0.0000 0.0000 0.2503  4 Tl 3.28
Tl 0.1323 0.3677 0.7500  1 Tl 3.14, 2 Er 3.28, 2 Ac 3.43
Er 0.5000 0.5000 0.7503  4 Tl 3.28
Tl 0.3677 0.8677 0.7500  1 Tl 3.14, 2 Er 3.28, 2 Ac 3.43
Ac 0.8298 0.3302 0.5000  6 Tl 3.43-3.57
Ac 0.3298 0.1698 0.0000  6 Tl 3.43-3.57
Ac 0.1698 0.6702 0.0000  6 Tl 3.43-3.57
Er 0.0000 0.0000 0.7497  4 Tl 3.28
Ac 0.6702 0.8302 0.0000  6 Tl 3.43-3.57
Tl 0.1323 0.3677 0.2500  1 Tl 3.14, 2 Er 3.28, 2 Ac 3.43
Tl 0.8677 0.6323 0.2500  1 Tl 3.14, 2 Er 3.28, 2 Ac 3.43
Ac 0.3302 0.1702 0.5000  6 Tl 3.43-3.57
Tl 0.8677 0.6323 0.7500  1 Tl 3.14, 2 Er 3.28, 2 Ac 3.43
Ac 0.1702 0.6698 0.5000  6 Tl 3.43-3.57
Ac 0.6698 0.8298 0.5000  6 Tl 3.43-3.57
Ac 0.8302 0.3298 0.0000  6 Tl 3.43-3.57

=====

Which value of energy of formation from the pure elements does entry 3 give? -209 meV/atom